Record 1
# Ti2Nb3Pd8 (PBE-GGA, optimized geometry)
data_Ti2Nb3Pd8
_cell_length_a 5.1648
_cell_length_b 5.1648
_cell_length_c 28.9248
_cell_angle_alpha 90.00
_cell_angle_beta 90.00
_cell_angle_gamma 120.00
_space_group_name_H-M_alt 'R -3 m'
_space_group_IT_number 166
_space_group_name_Hall '-R 3 2"'
loop_
_atom_site_label
_atom_site_type_symbol
_atom_site_fract_x
_atom_site_fract_y
_atom_site_fract_z
_atom_site_occupancy
Ti1 Ti 0.0000 0.0000 0.1373 1
Nb1 Nb 0.0000 0.0000 0.3110 1
Nb2 Nb 0.0000 0.0000 0.5000 1
Pd1 Pd 0.0000 0.0000 0.2199 1
Pd2 Pd 0.0022 0.5011 0.2704 1
# energy: -265.29 eV/cell
# energy relative to the elements: -68 meV/atom
# crystal system: trigonal
# size of the total moment: 0.0 μB/f.u.

Record 2
# In2BiSe4 (PBE-GGA, optimized geometry)
data_In2BiSe4
_cell_length_a 8.3702
_cell_length_b 8.5394
_cell_length_c 11.9514
_cell_angle_alpha 90.00
_cell_angle_beta 90.00
_cell_angle_gamma 90.00
_space_group_name_H-M_alt 'I m m a'
_space_group_IT_number 74
_space_group_name_Hall '-I 2b 2'
loop_
_atom_site_label
_atom_site_type_symbol
_atom_site_fract_x
_atom_site_fract_y
_atom_site_fract_z
_atom_site_occupancy
In1 In 0.0000 0.2500 0.1341 1
In2 In 0.2500 0.2500 0.7500 1
Bi1 Bi 0.0000 0.0000 0.5000 1
Se1 Se 0.0000 0.0242 0.7482 1
Se2 Se 0.2465 0.2500 0.5106 1
# energy relative to the elements, uncorrected: -2.95 eV/f.u.
# energy: -104.99 eV/cell
# offset from the most stable computed form: 0.00 eV/f.u.
# crystal system: orthorhombic
# size of the total moment: 0.0 μB/f.u.

Record 3
# BeHPd2Pt (PBE-GGA, optimized geometry)
data_BeHPd2Pt
_cell_length_a 3.8870
_cell_length_b 3.8870
_cell_length_c 3.9361
_cell_angle_alpha 90.00
_cell_angle_beta 90.00
_cell_angle_gamma 90.00
_space_group_name_H-M_alt 'P 4/m m m'
_space_group_IT_number 123
_space_group_name_Hall '-P 4 2'
loop_
_atom_site_label
_atom_site_type_symbol
_atom_site_fract_x
_atom_site_fract_y
_atom_site_fract_z
_atom_site_occupancy
Be1 Be 0.0000 0.0000 0.0000 1
H1 H 0.5000 0.5000 0.5000 1
Pd1 Pd 0.0000 0.5000 0.5000 1
Pt1 Pt 0.5000 0.5000 0.0000 1
# energy: -24.20 eV/cell
# offset from the most stable computed form: 0.00 eV/f.u.
# crystal system: tetragonal
# size of the total moment: 0.0 μB/f.u.

> What is the size of the total moment in the second record?

0.0 μB/f.u.